Record 1
DFT (GGA-PBEsol) results for a relaxed structure of Sb2AsBr.

Cell and atoms, written as extended XYZ:
```
4
Lattice="-1.585 2.841 -0.863 -1.535 -1.799 2.394 4.778 4.661 6.565" Properties=species:S:1:pos:R:3 pbc="T T T"
As 0.829 2.851 4.048
Br -1.560 0.521 0.765
Sb 3.517 3.431 4.832
Sb 1.261 1.230 1.733
```

Output
Raw total energy   -3.888 eV/atom
Distance to the lowest polymorph of the same formula   0.133 eV per atom
Magnetic moment   0.0 μB per formula unit

=====

Record 2
DFT (GGA-PBEsol) results for a relaxed structure of Li3Cu2F8.

Cell and atoms, written as extended XYZ:
```
26
Lattice="-1.106 -2.677 -4.250 -4.293 -2.837 2.904 -5.700 6.955 -2.898" Properties=species:S:1:pos:R:3 pbc="T T T"
F -7.547 2.210 -4.416
F -8.713 3.787 -1.118
F -2.386 -2.347 -3.126
F -3.551 -0.770 0.172
F -3.885 -3.113 -1.047
F -6.514 2.433 -1.713
F -4.584 -0.993 -2.531
F -9.157 1.373 -2.395
F -1.941 0.068 -1.849
F -7.213 4.554 -3.197
F -6.576 -2.754 -1.978
F -4.522 4.195 -2.266
F -4.133 1.635 -0.862
F -5.037 1.610 -3.814
F -6.966 -0.194 -3.382
F -6.061 -0.169 -0.430
Cu -4.840 0.709 0.699
Cu -6.258 0.732 -4.943
Cu -2.895 -1.505 -1.525
Cu -8.203 2.945 -2.719
Li -8.980 0.242 -3.869
Li -5.638 -2.044 -0.528
Li -2.146 -1.418 1.452
Li -5.460 3.485 -3.716
Li -5.549 0.720 -2.122
Li -2.118 1.199 -0.375
```

Output
Raw total energy   -4.440 eV/atom
Distance to the lowest polymorph of the same formula   0.000 eV per atom
Magnetic moment   3.0 μB per formula unit

=====

Record 3
DFT (GGA-PBEsol) results for a relaxed structure of CaZnPb.

Cell and atoms, written as extended XYZ:
```
3
Lattice="3.603 0.000 0.000 0.000 3.603 0.000 -1.802 -1.802 5.698" Properties=species:S:1:pos:R:3 pbc="T T T"
Zn 0.000 0.000 3.708
Pb 1.802 1.802 2.129
Ca 1.802 1.802 5.559
```

Output
Raw total energy   -2.798 eV/atom
ΔE_f   -0.227 eV/atom
Magnetic moment   0.0 μB per formula unit

=====

Record 4
DFT (GGA-PBEsol) results for a relaxed structure of Ca2Hg.

Cell and atoms, written as extended XYZ:
```
6
Lattice="3.787 0.000 0.000 0.000 5.503 0.000 -1.894 0.000 8.705" Properties=species:S:1:pos:R:3 pbc="T T T"
Ca 0.000 4.127 7.421
Ca 0.000 1.376 4.983
Ca 1.894 4.127 3.722
Ca 1.894 1.376 1.284
Hg 1.894 1.376 7.418
Hg 0.000 4.127 1.287
```

Output
Raw total energy   -2.000 eV/atom
ΔE_f   -0.389 eV/atom
Magnetic moment   0.0 μB per formula unit

=====

Record 5
DFT (GGA-PBEsol) results for a relaxed structure of Ge3Mo5C.

Cell and atoms, written as extended XYZ:
```
18
Lattice="5.266 0.000 0.000 0.000 7.379 0.000 0.000 -3.689 6.390" Properties=species:S:1:pos:R:3 pbc="T T T"
Mo 0.000 0.000 4.260
Mo 3.950 1.673 0.000
Mo 1.317 5.706 0.000
Mo 1.317 0.836 1.449
Mo 1.317 -2.853 4.941
Mo 2.633 0.000 4.260
Mo 3.950 2.853 4.941
Mo 3.950 -0.836 1.449
Mo 2.633 3.689 2.130
Mo 0.000 3.689 2.130
Ge 3.950 -2.202 3.813
Ge 1.317 2.202 3.813
Ge 1.317 2.975 0.000
Ge 3.950 4.403 0.000
Ge 1.317 -1.488 2.577
Ge 3.950 1.488 2.577
C 2.633 0.000 0.000
C 0.000 0.000 0.000
```

Output
Raw total energy   -9.413 eV/atom
ΔE_f   -0.158 eV/atom
Magnetic moment   0.0 μB per formula unit

=====

Record 6
DFT (GGA-PBEsol) results for a relaxed structure of Te2PPtN.

Cell and atoms, written as extended XYZ:
```
5
Lattice="-2.943 2.055 -0.522 -2.763 -4.374 -1.646 -1.562 -0.938 5.114" Properties=species:S:1:pos:R:3 pbc="T T T"
Te -1.381 -2.187 -0.823
Te -0.781 -0.469 2.557
Pt 0.000 0.000 0.000
N -1.471 1.027 -0.261
P -3.634 -1.629 1.473
```

Output
Raw total energy   -4.978 eV/atom
Magnetic moment   0.0 μB per formula unit